[1]
Computed, not measured: crystalline Zn2CuPt at its relaxed geometry at the PBEsol level of DFT.

Unit cell a=8.4066 b=8.4066 c=8.4066 alpha=18.81 beta=18.81 gamma=18.81
Atoms (fractional coordinates):
Zn 0.2470 0.2470 0.2470
Zn 0.7530 0.7530 0.7530
Cu 0.5000 0.5000 0.5000
Pt 0.0000 0.0000 0.0000

The calculated volume comes out at 54.0 Å³ per cell. For the formation enthalpy at 0 K, the calculation gives -209 meV/atom. For the total moment, the calculation gives 0.000 μB/cell. The total energy comes out at -15.30 eV per cell.

[2]
Computed, not measured: crystalline K2ScRuS at its relaxed geometry at the PBEsol level of DFT.

Unit cell a=6.2988 b=6.2988 c=4.3129 alpha=90.00 beta=90.00 gamma=90.00
Atoms (fractional coordinates):
K 0.0000 0.5000 0.0000
K 0.5000 0.0000 0.0000
Sc 0.0000 0.0000 0.0000
Ru 0.0000 0.0000 0.5000
S 0.5000 0.5000 0.5000

The calculated volume comes out at 171.1 Å³ per cell. For the total moment, the calculation gives 0.634 μB/cell. For the formation energy from raw total energies, the calculation gives 883 meV/atom. The total energy comes out at -19.01 eV per cell.

[3]
Computed, not measured: crystalline K2ReAg at its relaxed geometry at the PBEsol level of DFT.

Unit cell a=2.6969 b=5.6463 c=5.5934 alpha=90.00 beta=94.82 gamma=90.00
Atoms (fractional coordinates):
K 0.1596 0.0000 0.2508
K 0.8404 0.0000 0.7492
Re 0.5000 0.5000 0.0000
Ag 0.0000 0.5000 0.5000

The calculated volume comes out at 84.9 Å³ per cell. For the formation enthalpy at 0 K, the calculation gives 1238 meV/atom. For the total moment, the calculation gives 0.639 μB/cell. The total energy comes out at -13.96 eV per cell. Its offset from the most stable computed form is 0.0000 eV per atom.

[4]
Computed, not measured: crystalline Y3Ir at its relaxed geometry at the PBEsol level of DFT.

Unit cell a=5.9327 b=5.9327 c=5.9327 alpha=138.09 beta=138.09 gamma=60.76
Atoms (fractional coordinates):
Y 0.0000 0.0000 0.0000
Y 0.2500 0.7500 0.5000
Y 0.7500 0.2500 0.5000
Ir 0.5000 0.5000 0.0000

The calculated volume comes out at 92.2 Å³ per cell. For the formation enthalpy at 0 K, the calculation gives -113 meV/atom. For the total moment, the calculation gives 0.002 μB/cell. The total energy comes out at -30.74 eV per cell.

[5]
Computed, not measured: crystalline CrMoH2 at its relaxed geometry at the PBEsol level of DFT.

Unit cell a=3.5715 b=3.5715 c=3.5715 alpha=60.00 beta=60.00 gamma=60.00
Atoms (fractional coordinates):
Cr 0.0000 0.0000 0.0000
Mo 0.5000 0.5000 0.5000
H 0.2500 0.2500 0.2500
H 0.7500 0.7500 0.7500

The calculated volume comes out at 32.2 Å³ per cell. For the total moment, the calculation gives 0.689 μB/cell. The total energy comes out at -26.17 eV per cell.

[6]
Computed, not measured: crystalline KFeH2Se at its relaxed geometry at the PBEsol level of DFT.

Unit cell a=4.0967 b=4.0967 c=4.5800 alpha=90.00 beta=90.00 gamma=90.00
Atoms (fractional coordinates):
K 0.0000 0.0000 0.0000
Fe 0.5000 0.5000 0.5000
H 0.0000 0.5000 0.5000
H 0.5000 0.0000 0.5000
Se 0.5000 0.5000 0.0000

The calculated volume comes out at 76.9 Å³ per cell. For the total moment, the calculation gives 3.050 μB/cell. The total energy comes out at -19.97 eV per cell.

[7]
Computed, not measured: crystalline Y2ZrPt2 at its relaxed geometry at the PBEsol level of DFT.

Unit cell a=7.0191 b=7.0191 c=4.4422 alpha=90.00 beta=90.00 gamma=90.00
Atoms (fractional coordinates):
Y 0.1694 0.3306 0.0000
Y 0.3306 0.8306 0.0000
Y 0.6694 0.1694 0.0000
Y 0.8306 0.6694 0.0000
Zr 0.0000 0.0000 0.5000
Zr 0.5000 0.5000 0.5000
Pt 0.1389 0.6389 0.5000
Pt 0.3611 0.1389 0.5000
Pt 0.6389 0.8611 0.5000
Pt 0.8611 0.3611 0.5000

The calculated volume comes out at 218.9 Å³ per cell. For the formation enthalpy at 0 K, the calculation gives -937 meV/atom. For the total moment, the calculation gives 0.000 μB/cell. The total energy comes out at -82.69 eV per cell.

[8]
Computed, not measured: crystalline TlPAu4 at its relaxed geometry at the PBEsol level of DFT.

Unit cell a=5.4643 b=5.4643 c=5.4643 alpha=60.00 beta=60.00 gamma=60.00
Atoms (fractional coordinates):
Tl 0.0000 0.0000 0.0000
P 0.7500 0.7500 0.7500
Au 0.3753 0.3753 0.3753
Au 0.3753 0.3753 0.8742
Au 0.3753 0.8742 0.3753
Au 0.8742 0.3753 0.3753

The calculated volume comes out at 115.4 Å³ per cell. For the formation enthalpy at 0 K, the calculation gives 298 meV/atom. For the total moment, the calculation gives 0.001 μB/cell. The total energy comes out at -22.33 eV per cell.

[9]
Computed, not measured: crystalline HfZr3Ga at its relaxed geometry at the PBEsol level of DFT.

Unit cell a=5.0348 b=5.0348 c=5.0348 alpha=90.00 beta=90.00 gamma=90.00
Atoms (fractional coordinates):
Hf 0.0000 0.0000 0.0000
Zr 0.0000 0.0000 0.5000
Zr 0.0000 0.5000 0.0000
Zr 0.5000 0.0000 0.0000
Ga 0.5000 0.5000 0.5000

The calculated volume comes out at 127.6 Å³ per cell. For the formation enthalpy at 0 K, the calculation gives 1102 meV/atom. For the total moment, the calculation gives 0.005 μB/cell. The total energy comes out at -35.60 eV per cell.

[10]
Computed, not measured: crystalline SrAs2Ru2 at its relaxed geometry at the PBEsol level of DFT.

Unit cell a=6.2159 b=6.2159 c=6.2159 alpha=140.81 beta=140.81 gamma=56.62
Atoms (fractional coordinates):
Sr 0.0000 0.0000 0.0000
As 0.3609 0.3609 0.0000
As 0.6391 0.6391 0.0000
Ru 0.2500 0.7500 0.5000
Ru 0.7500 0.2500 0.5000

The calculated volume comes out at 95.1 Å³ per cell. For the formation enthalpy at 0 K, the calculation gives -664 meV/atom. For the total moment, the calculation gives 0.000 μB/cell. The total energy comes out at -35.72 eV per cell.

[11]
Computed, not measured: crystalline Al2TcCl at its relaxed geometry at the PBEsol level of DFT.

Unit cell a=4.9677 b=4.9677 c=4.9677 alpha=142.45 beta=126.26 gamma=67.40
Atoms (fractional coordinates):
Al 0.2491 0.2491 0.0000
Al 0.7509 0.7509 0.0000
Tc 0.0000 0.5000 0.5000
Cl 0.5000 0.0000 0.5000

The calculated volume comes out at 59.3 Å³ per cell. For the total moment, the calculation gives 0.000 μB/cell. For the formation energy from raw total energies, the calculation gives 180 meV/atom. The total energy comes out at -20.74 eV per cell. Its offset from the most stable computed form is 0.5992 eV per atom.

[12]
Computed, not measured: crystalline TaZnRe2 at its relaxed geometry at the PBEsol level of DFT.

Unit cell a=5.2290 b=5.2290 c=2.7069 alpha=102.38 beta=102.38 gamma=117.03
Atoms (fractional coordinates):
Ta 0.0000 0.0000 0.0000
Zn 0.5000 0.5000 0.0000
Re 0.0000 0.5000 0.5000
Re 0.5000 0.0000 0.5000

The calculated volume comes out at 60.1 Å³ per cell. For the formation enthalpy at 0 K, the calculation gives 101 meV/atom. For the total moment, the calculation gives 0.000 μB/cell. The total energy comes out at -40.39 eV per cell.

[13]
Computed, not measured: crystalline Hf3ZnPt at its relaxed geometry at the PBEsol level of DFT.

Unit cell a=4.7437 b=4.7437 c=4.7437 alpha=90.00 beta=90.00 gamma=90.00
Atoms (fractional coordinates):
Hf 0.0000 0.0000 0.5000
Hf 0.0000 0.5000 0.0000
Hf 0.5000 0.0000 0.0000
Zn 0.0000 0.0000 0.0000
Pt 0.5000 0.5000 0.5000

The calculated volume comes out at 106.7 Å³ per cell. For the formation enthalpy at 0 K, the calculation gives 681 meV/atom. For the total moment, the calculation gives 0.004 μB/cell. The total energy comes out at -36.65 eV per cell.

[14]
Computed, not measured: crystalline CsHoSiS4 at its relaxed geometry at the PBEsol level of DFT.

Unit cell a=6.2721 b=6.5818 c=17.5093 alpha=90.00 beta=90.00 gamma=90.00
Atoms (fractional coordinates):
Cs 0.0132 0.0083 0.4685
Cs 0.4868 0.9917 0.9685
Cs 0.5132 0.4917 0.5315
Cs 0.9868 0.5083 0.0315
Ho 0.2076 0.0204 0.7282
Ho 0.2924 0.9796 0.2282
Ho 0.7076 0.4796 0.2718
Ho 0.7924 0.5204 0.7718
Si 0.2088 0.5178 0.3318
Si 0.2912 0.4822 0.8318
Si 0.7088 0.9822 0.6682
Si 0.7912 0.0178 0.1682
S 0.0583 0.0137 0.0958
S 0.0633 0.2484 0.8529
S 0.1020 0.7503 0.8438
S 0.1053 0.5779 0.2186
S 0.3947 0.4221 0.7186
S 0.3980 0.2497 0.3438
S 0.4367 0.7516 0.3529
S 0.4417 0.9863 0.5958
S 0.5583 0.4863 0.9042
S 0.5633 0.2516 0.1471
S 0.6020 0.7497 0.1562
S 0.6053 0.9221 0.7814
S 0.8947 0.0779 0.2814
S 0.8980 0.2503 0.6562
S 0.9367 0.7484 0.6471
S 0.9417 0.5137 0.4042

The calculated volume comes out at 722.8 Å³ per cell. For the total moment, the calculation gives 0.000 μB/cell. For the formation energy from raw total energies, the calculation gives -1477 meV/atom. The total energy comes out at -158.05 eV per cell.

[15]
Computed, not measured: crystalline BeReOs at its relaxed geometry at the PBEsol level of DFT.

Unit cell a=4.0048 b=4.0048 c=4.0048 alpha=60.00 beta=60.00 gamma=60.00
Atoms (fractional coordinates):
Be 0.0000 0.0000 0.0000
Re 0.5000 0.5000 0.5000
Os 0.7500 0.7500 0.7500

The calculated volume comes out at 45.4 Å³ per cell. For the formation enthalpy at 0 K, the calculation gives 452 meV/atom. For the total moment, the calculation gives 0.000 μB/cell. The total energy comes out at -28.19 eV per cell. Its offset from the most stable computed form is 0.6214 eV per atom.

[16]
Computed, not measured: crystalline LiTe2 at its relaxed geometry at the PBEsol level of DFT.

Unit cell a=6.3954 b=6.3954 c=7.3722 alpha=106.66 beta=106.66 gamma=39.37
Atoms (fractional coordinates):
Li 0.1130 0.1130 0.2102
Li 0.8870 0.8870 0.7898
Te 0.0000 0.0000 0.5000
Te 0.3509 0.3509 0.2584
Te 0.5000 0.5000 0.0000
Te 0.6491 0.6491 0.7416

The calculated volume comes out at 182.2 Å³ per cell. For the total moment, the calculation gives 0.000 μB/cell. For the formation energy from raw total energies, the calculation gives -434 meV/atom. The total energy comes out at -20.64 eV per cell. Its offset from the most stable computed form is 0.0000 eV per atom.

[17]
Computed, not measured: crystalline KCuBr2 at its relaxed geometry at the PBEsol level of DFT.

Unit cell a=6.6662 b=6.6662 c=4.7593 alpha=94.59 beta=94.59 gamma=35.56
Atoms (fractional coordinates):
K 0.0000 0.0000 0.0000
Cu 0.2840 0.2840 0.2063
Br 0.4426 0.4426 0.4891
Br 0.7128 0.7128 0.0282

The calculated volume comes out at 122.5 Å³ per cell. For the total moment, the calculation gives 0.000 μB/cell. For the formation energy from raw total energies, the calculation gives -913 meV/atom. The total energy comes out at -12.86 eV per cell. Its offset from the most stable computed form is 0.0232 eV per atom.

[18]
Computed, not measured: crystalline Ga3Sn at its relaxed geometry at the PBEsol level of DFT.

Unit cell a=5.0472 b=5.0472 c=5.0472 alpha=126.69 beta=126.69 gamma=78.75
Atoms (fractional coordinates):
Ga 0.0000 0.0000 0.0000
Ga 0.2500 0.7500 0.5000
Ga 0.7500 0.2500 0.5000
Sn 0.5000 0.5000 0.0000

The calculated volume comes out at 80.0 Å³ per cell. For the formation enthalpy at 0 K, the calculation gives 39 meV/atom. For the total moment, the calculation gives 0.000 μB/cell. The total energy comes out at -14.12 eV per cell.

[19]
Computed, not measured: crystalline Cu3Pt at its relaxed geometry at the PBEsol level of DFT.

Unit cell a=2.6268 b=2.6268 c=8.3406 alpha=90.00 beta=90.00 gamma=120.00
Atoms (fractional coordinates):
Cu 0.0000 0.0000 0.0000
Cu 0.3333 0.6667 0.2382
Cu 0.3333 0.6667 0.7618
Pt 0.0000 0.0000 0.5000

The calculated volume comes out at 49.8 Å³ per cell. For the formation enthalpy at 0 K, the calculation gives -39 meV/atom. For the total moment, the calculation gives 0.000 μB/cell. The total energy comes out at -20.12 eV per cell.

[20]
Computed, not measured: crystalline SrYCu at its relaxed geometry at the PBEsol level of DFT.

Unit cell a=4.6650 b=4.6650 c=4.7786 alpha=90.00 beta=90.00 gamma=120.00
Atoms (fractional coordinates):
Sr 0.0000 0.0000 0.0000
Y 0.3333 0.6667 0.4971
Cu 0.6667 0.3333 0.5862

The calculated volume comes out at 90.1 Å³ per cell. For the formation enthalpy at 0 K, the calculation gives 219 meV/atom. For the total moment, the calculation gives 0.000 μB/cell. The total energy comes out at -12.34 eV per cell. Its offset from the most stable computed form is 0.2180 eV per atom.

[21]
Computed, not measured: crystalline K3Co at its relaxed geometry at the PBEsol level of DFT.

Unit cell a=6.0916 b=6.0916 c=6.0916 alpha=120.33 beta=120.33 gamma=89.43
Atoms (fractional coordinates):
K 0.0000 0.0000 0.0000
K 0.2500 0.7500 0.5000
K 0.7500 0.2500 0.5000
Co 0.5000 0.5000 0.0000

The calculated volume comes out at 159.0 Å³ per cell. For the formation enthalpy at 0 K, the calculation gives 921 meV/atom. For the total moment, the calculation gives 1.693 μB/cell. The total energy comes out at -7.45 eV per cell.

[22]
Computed, not measured: crystalline RbLiO at its relaxed geometry at the PBEsol level of DFT.

Unit cell a=6.4739 b=3.4942 c=8.8077 alpha=90.00 beta=90.00 gamma=90.00
Atoms (fractional coordinates):
Rb 0.0029 0.2500 0.1789
Rb 0.4971 0.7500 0.6789
Rb 0.5029 0.2500 0.3211
Rb 0.9971 0.7500 0.8211
Li 0.1045 0.7500 0.5002
Li 0.3955 0.2500 0.0002
Li 0.6045 0.7500 0.9998
Li 0.8955 0.2500 0.4998
O 0.1892 0.2500 0.5483
O 0.3108 0.7500 0.0483
O 0.6892 0.2500 0.9517
O 0.8108 0.7500 0.4517

The calculated volume comes out at 199.2 Å³ per cell. For the total moment, the calculation gives 0.001 μB/cell. For the formation energy from raw total energies, the calculation gives -1399 meV/atom. The total energy comes out at -49.76 eV per cell.

[23]
Computed, not measured: crystalline ErLuO3 at its relaxed geometry at the PBEsol level of DFT.

Unit cell a=5.7668 b=8.1377 c=5.4855 alpha=90.00 beta=90.00 gamma=90.00
Atoms (fractional coordinates):
Er 0.0580 0.2500 0.0224
Er 0.4420 0.7500 0.5224
Er 0.5580 0.2500 0.4776
Er 0.9420 0.7500 0.9776
Lu 0.0000 0.0000 0.5000
Lu 0.0000 0.5000 0.5000
Lu 0.5000 0.0000 0.0000
Lu 0.5000 0.5000 0.0000
O 0.0760 0.7500 0.3510
O 0.1905 0.5797 0.8132
O 0.1905 0.9203 0.8132
O 0.3095 0.0797 0.3132
O 0.3095 0.4203 0.3132
O 0.4240 0.2500 0.8510
O 0.5760 0.7500 0.1490
O 0.6905 0.5797 0.6868
O 0.6905 0.9203 0.6868
O 0.8095 0.0797 0.1868
O 0.8095 0.4203 0.1868
O 0.9240 0.2500 0.6490

The calculated volume comes out at 257.4 Å³ per cell. For the total moment, the calculation gives 0.000 μB/cell. For the formation energy from raw total energies, the calculation gives -3648 meV/atom. The total energy comes out at -175.15 eV per cell.

[24]
Computed, not measured: crystalline SrP2Se at its relaxed geometry at the PBEsol level of DFT.

Unit cell a=5.3136 b=5.3136 c=5.4095 alpha=117.30 beta=117.30 gamma=38.70
Atoms (fractional coordinates):
Sr 0.0000 0.0000 0.0000
P 0.2075 0.2075 0.6543
P 0.5440 0.5440 0.5518
Se 0.8063 0.8063 0.3258

The calculated volume comes out at 83.4 Å³ per cell. For the total moment, the calculation gives 0.000 μB/cell. For the formation energy from raw total energies, the calculation gives -527 meV/atom. The total energy comes out at -19.38 eV per cell.